[1]
## Y3Ga2Rh5 (PBE-GGA)

Data for crystalline Y3Ga2Rh5 at its relaxed geometry.

Computed properties:
E_tot: -7.04 eV per atom
Spin magnetization: 0.00 μB per formula unit
Calculated formation energy: -8.22 eV per formula unit

a b c (Å): 10.044 10.044 3.612
angles (deg): 90.00 90.00 90.00
Space group P4/mbm (No. 127)
Inequivalent atoms, fractional coordinates:
Y (0.000, 0.000, 0.000) [2 per cell]
Y (0.173, 0.327, 0.000) [4 per cell]
Ga (0.123, 0.623, 0.000) [4 per cell]
Rh (0.000, 0.500, 0.500) [2 per cell]
Rh (0.071, 0.787, 0.500) [8 per cell]



[2]
## YGaRh3 (PBE-GGA)

Data for crystalline YGaRh3 at its relaxed geometry.

Computed properties:
Relative energy among the computed polymorphs: 1.2824 eV/atom
E_tot: -5.23 eV per atom
Spin magnetization: 0.92 μB per formula unit
Calculated formation energy: 5.38 eV per formula unit

a b c (Å): 4.909 4.909 4.909
angles (deg): 90.00 90.00 90.00
Space group Pm-3m (No. 221)
Inequivalent atoms, fractional coordinates:
Y (0.000, 0.000, 0.000) [1 per cell]
Ga (0.500, 0.500, 0.500) [1 per cell]
Rh (0.000, 0.000, 0.500) [3 per cell]



[3]
## YGa3Rh (PBE-GGA)

Data for crystalline YGa3Rh at its relaxed geometry.

Computed properties:
Relative energy among the computed polymorphs: 0.0000 eV/atom
E_tot: -5.17 eV per atom
Spin magnetization: 0.00 μB per formula unit
Calculated formation energy: -2.98 eV per formula unit

a b c (Å): 10.739 6.182 5.657
angles (deg): 90.00 90.00 90.00
Space group C2/m (No. 12)
Inequivalent atoms, fractional coordinates:
Y (0.166, 0.000, 0.252) [4 per cell]
Ga (0.097, 0.212, 0.751) [8 per cell]
Ga (0.192, 0.500, 0.249) [4 per cell]
Rh (0.000, 0.500, 0.000) [2 per cell]
Rh (0.000, 0.500, 0.500) [2 per cell]



[4]
## Y2GaRh2 (PBE-GGA)

Data for crystalline Y2GaRh2 at its relaxed geometry.

Computed properties:
E_tot: -7.00 eV per atom
Spin magnetization: 0.00 μB per formula unit
Calculated formation energy: -4.36 eV per formula unit

a b c (Å): 10.132 5.446 7.631
angles (deg): 90.00 104.93 90.00
Space group C2/c (No. 15)
Inequivalent atoms, fractional coordinates:
Y (0.147, 0.148, 0.149) [8 per cell]
Ga (0.000, 0.353, 0.750) [4 per cell]
Rh (0.132, 0.362, 0.506) [8 per cell]



[5]
## Y3Ga12Rh (PBE-GGA)

Data for crystalline Y3Ga12Rh at its relaxed geometry.

Computed properties:
E_tot: -4.40 eV per atom
Spin magnetization: 0.00 μB per formula unit
Calculated formation energy: -7.35 eV per formula unit

a b c (Å): 4.338 4.338 15.881
angles (deg): 90.00 90.00 90.00
Space group P4/mmm (No. 123)
Inequivalent atoms, fractional coordinates:
Y (0.000, 0.000, 0.000) [1 per cell]
Y (0.000, 0.000, 0.268) [2 per cell]
Ga (0.000, 0.500, 0.133) [4 per cell]
Ga (0.000, 0.500, 0.399) [4 per cell]
Ga (0.500, 0.500, 0.000) [1 per cell]
Ga (0.500, 0.500, 0.265) [2 per cell]
Ga (0.500, 0.500, 0.500) [1 per cell]
Rh (0.000, 0.000, 0.500) [1 per cell]



[6]
## YGa3Rh3 (PBE-GGA)

Data for crystalline YGa3Rh3 at its relaxed geometry.

Computed properties:
Relative energy among the computed polymorphs: 0.0000 eV/atom
E_tot: -6.04 eV per atom
Spin magnetization: 0.00 μB per formula unit
Calculated formation energy: -4.69 eV per formula unit

a b c (Å): 7.721 7.721 7.721
angles (deg): 90.00 90.00 90.00
Space group P2_13 (No. 198)
Inequivalent atoms, fractional coordinates:
Y (0.061, 0.439, 0.561) [4 per cell]
Ga (0.012, 0.807, 0.588) [12 per cell]
Rh (0.118, 0.618, 0.882) [4 per cell]
Rh (0.163, 0.163, 0.163) [4 per cell]
Rh (0.216, 0.784, 0.284) [4 per cell]